# TlAu3

TlAu3 at its PBEsol-relaxed geometry (meta-GGA SCAN, Alexandria via LeMat-Bulk).

Cell: 3.051 4.663 5.265 Å, 90.00 90.00 90.00°
Fractional coordinates of all 4 atoms:
Au 0.500 0.500 0.839
Au 0.500 0.000 0.511
Au 0.000 0.000 0.985
Tl 0.000 0.500 0.332

Results
Symmetry: Pmm2, No. 25
Total magnetization: 0.00 μB per atom
DFT formation energy: 0.117 eV/atom